<w>
This record from Alexandria via LeMat-Bulk describes a relaxed NbRuI2N crystal. The functional is GGA-PBE.

The structure in POSCAR format:
```
NbRuI2N
1.0
5.736 0.000 0.000
0.000 5.736 0.000
0.000 0.000 3.890
I Ru Nb N
2 1 1 1
direct
0.000 0.500 0.000
0.500 0.000 0.000
0.500 0.500 0.500
0.000 0.000 0.000
0.000 0.000 0.500
```

Output
Mass density   5.99 g cm⁻³
SG   P4/mmm, No. 123



<x>
This record from Alexandria via LeMat-Bulk describes a relaxed NbRuI2N crystal. The functional is GGA-PBE.

The structure in POSCAR format:
```
NbRuI2N
1.0
-0.524 -3.803 3.987
-0.681 -3.929 -3.837
3.648 -0.570 -0.064
I Ru Nb N
2 1 1 1
direct
0.000 0.500 0.000
0.500 0.000 0.000
0.000 0.000 0.000
0.500 0.500 0.500
0.000 0.000 0.500
```

Output
Mass density   6.78 g cm⁻³
SG   P4/mmm, No. 123



The least stable of them is <w>.



<w>
This record from Alexandria via LeMat-Bulk describes a relaxed NbRuIN2 crystal. The functional is GGA-PBE.

The structure in POSCAR format:
```
NbRuIN2
1.0
-2.302 -1.815 2.613
-0.877 -2.738 -2.675
4.388 -3.087 1.721
I Ru Nb N
1 1 1 2
direct
0.000 0.000 0.500
0.000 0.000 0.000
0.500 0.500 0.500
0.000 0.500 0.000
0.500 0.000 0.000
```

Output
Mass density   6.67 g cm⁻³
SG   P4/mmm, No. 123



<x>
This record from Alexandria via LeMat-Bulk describes a relaxed NbRuIN2 crystal. The functional is GGA-PBE.

The structure in POSCAR format:
```
NbRuIN2
1.0
-3.703 1.358 0.732
-0.946 -0.495 -3.867
-1.815 -5.572 1.158
I Ru Nb N
1 1 1 2
direct
0.000 0.000 0.500
0.500 0.500 0.500
0.000 0.000 0.000
0.000 0.500 0.000
0.500 0.000 0.000
```

Output
Mass density   6.03 g cm⁻³
SG   P4/mmm, No. 123



The least stable of them is <w>.



<w>
This record from Alexandria via LeMat-Bulk describes a relaxed ScNbI2N crystal. The functional is GGA-PBE.

The structure in POSCAR format:
```
ScNbI2N
1.0
-1.116 3.470 4.435
-0.413 -4.560 3.464
3.844 0.242 0.777
I Sc Nb N
2 1 1 1
direct
0.000 0.500 0.000
0.500 0.000 0.000
0.500 0.500 0.500
0.000 0.000 0.000
0.000 0.000 0.500
```

Output
Mass density   5.20 g cm⁻³
SG   P4/mmm, No. 123



<x>
This record from Alexandria via LeMat-Bulk describes a relaxed ScNbI2N crystal. The functional is GGA-PBE.

The structure in POSCAR format:
```
ScNbI2N
1.0
5.828 0.000 0.000
0.000 5.828 0.000
0.000 0.000 3.863
I Sc Nb N
2 1 1 1
direct
0.000 0.500 0.000
0.500 0.000 0.000
0.000 0.000 0.000
0.500 0.500 0.500
0.000 0.000 0.500
```

Output
Mass density   5.14 g cm⁻³
SG   P4/mmm, No. 123



The least stable of them is <x>.



<w>
This record from Alexandria via LeMat-Bulk describes a relaxed NbSiIN2 crystal. The functional is GGA-PBE.

The structure in POSCAR format:
```
NbSiIN2
1.0
3.765 0.000 0.000
0.000 3.765 0.000
0.000 0.000 5.596
I Nb Si N
1 1 1 2
direct
0.000 0.000 0.500
0.500 0.500 0.500
0.000 0.000 0.000
0.000 0.500 0.000
0.500 0.000 0.000
```

Output
Mass density   5.78 g cm⁻³
SG   P4/mmm, No. 123



<x>
This record from Alexandria via LeMat-Bulk describes a relaxed NbSiIN2 crystal. The functional is GGA-PBE.

The structure in POSCAR format:
```
NbSiIN2
1.0
4.096 0.000 0.000
0.000 4.096 0.000
0.000 0.000 5.754
I Nb Si N
1 1 1 2
direct
0.000 0.000 0.500
0.000 0.000 0.000
0.500 0.500 0.500
0.000 0.500 0.000
0.500 0.000 0.000
```

Output
Mass density   4.75 g cm⁻³
SG   P4/mmm, No. 123



The least stable of them is <w>.



<w>
This record from Alexandria via LeMat-Bulk describes a relaxed NbSnIN2 crystal. The functional is GGA-PBE.

The structure in POSCAR format:
```
NbSnIN2
1.0
-3.073 2.817 -0.274
-0.115 -0.527 -4.143
-4.053 -4.358 0.667
I Nb Sn N
1 1 1 2
direct
0.000 0.000 0.500
0.500 0.500 0.500
0.000 0.000 0.000
0.000 0.500 0.000
0.500 0.000 0.000
```

Output
Mass density   5.82 g cm⁻³
SG   P4/mmm, No. 123



<x>
This record from Alexandria via LeMat-Bulk describes a relaxed NbSnIN2 crystal. The functional is GGA-PBE.

The structure in POSCAR format:
```
NbSnIN2
1.0
-2.794 -3.090 -0.712
1.043 0.001 -4.095
3.990 -3.842 1.015
I Nb Sn N
1 1 1 2
direct
0.000 0.000 0.500
0.000 0.000 0.000
0.500 0.500 0.500
0.000 0.500 0.000
0.500 0.000 0.000
```

Output
Mass density   6.05 g cm⁻³
SG   P4/mmm, No. 123



The least stable of them is <w>.



<w>
This record from Alexandria via LeMat-Bulk describes a relaxed SrNbI2N crystal. The functional is GGA-PBE.

The structure in POSCAR format:
```
SrNbI2N
1.0
5.878 0.000 0.000
0.000 5.878 0.000
0.000 0.000 4.025
I Sr Nb N
2 1 1 1
direct
0.000 0.500 0.000
0.500 0.000 0.000
0.500 0.500 0.500
0.000 0.000 0.000
0.000 0.000 0.500
```

Output
Mass density   5.35 g cm⁻³
SG   P4/mmm, No. 123



<x>
This record from Alexandria via LeMat-Bulk describes a relaxed SrNbI2N crystal. The functional is GGA-PBE.

The structure in POSCAR format:
```
SrNbI2N
1.0
6.253 0.000 0.000
0.000 6.253 0.000
0.000 0.000 4.284
I Sr Nb N
2 1 1 1
direct
0.000 0.500 0.000
0.500 0.000 0.000
0.000 0.000 0.000
0.500 0.500 0.500
0.000 0.000 0.500
```

Output
Mass density   4.45 g cm⁻³
SG   P4/mmm, No. 123



The least stable of them is <x>.



<w>
This record from Alexandria via LeMat-Bulk describes a relaxed TaNbIN2 crystal. The functional is GGA-PBE.

The structure in POSCAR format:
```
TaNbIN2
1.0
-1.176 3.772 1.018
-2.785 -1.555 2.545
3.830 0.054 4.223
I Nb N Ta
1 1 2 1
direct
0.000 0.000 0.500
0.500 0.500 0.500
0.000 0.500 0.000
0.500 0.000 0.000
0.000 0.000 0.000
```

Output
Mass density   7.50 g cm⁻³
SG   P4/mmm, No. 123



<x>
This record from Alexandria via LeMat-Bulk describes a relaxed TaNbIN2 crystal. The functional is GGA-PBE.

The structure in POSCAR format:
```
TaNbIN2
1.0
-3.966 -0.999 -0.197
0.329 -2.009 3.553
-1.319 4.689 2.774
I Nb N Ta
1 1 2 1
direct
0.000 0.000 0.500
0.000 0.000 0.000
0.000 0.500 0.000
0.500 0.000 0.000
0.500 0.500 0.500
```

Output
Mass density   7.58 g cm⁻³
SG   P4/mmm, No. 123



The least stable of them is <x>.



<w>
This record from Alexandria via LeMat-Bulk describes a relaxed NbTcIN2 crystal. The functional is GGA-PBE.

The structure in POSCAR format:
```
NbTcIN2
1.0
3.953 0.000 0.000
0.000 3.953 0.000
0.000 0.000 5.574
I Nb Tc N
1 1 1 2
direct
0.000 0.000 0.500
0.500 0.500 0.500
0.000 0.000 0.000
0.000 0.500 0.000
0.500 0.000 0.000
```

Output
Mass density   6.59 g cm⁻³
SG   P4/mmm, No. 123



<x>
This record from Alexandria via LeMat-Bulk describes a relaxed NbTcIN2 crystal. The functional is GGA-PBE.

The structure in POSCAR format:
```
NbTcIN2
1.0
-1.083 -1.765 -3.490
1.131 -5.243 2.300
-3.831 -0.249 1.315
I Nb Tc N
1 1 1 2
direct
0.000 0.500 0.000
0.000 0.000 0.000
0.500 0.500 0.500
0.000 0.000 0.500
0.500 0.000 0.000
```

Output
Mass density   5.98 g cm⁻³
SG   P4/mmm, No. 123



The least stable of them is <w>.



<w>
This record from Alexandria via LeMat-Bulk describes a relaxed NbTe2IN crystal. The functional is GGA-PBE.

The structure in POSCAR format:
```
NbTe2IN
1.0
4.849 0.000 0.000
0.000 4.849 0.000
0.000 0.000 4.703
I Nb Te N
1 1 2 1
direct
0.000 0.000 0.500
0.500 0.500 0.500
0.000 0.500 0.000
0.500 0.000 0.000
0.000 0.000 0.000
```

Output
Mass density   7.34 g cm⁻³
SG   P4/mmm, No. 123



<x>
This record from Alexandria via LeMat-Bulk describes a relaxed NbTe2IN crystal. The functional is GGA-PBE.

The structure in POSCAR format:
```
NbTe2IN
1.0
-2.468 -0.313 -5.261
3.724 -4.214 -1.496
-2.509 -2.692 1.337
I Nb Te N
1 1 2 1
direct
0.000 0.000 0.000
0.500 0.500 0.500
0.000 0.500 0.000
0.500 0.000 0.000
0.000 0.000 0.500
```

Output
Mass density   6.12 g cm⁻³
SG   P4/mmm, No. 123



<y>
This record from Alexandria via LeMat-Bulk describes a relaxed NbTe2IN crystal. The functional is GGA-PBE.

The structure in POSCAR format:
```
NbTe2IN
1.0
5.660 0.000 0.000
0.000 5.660 0.000
0.000 0.000 3.970
I Nb Te N
1 1 2 1
direct
0.500 0.500 0.500
0.000 0.000 0.000
0.000 0.500 0.000
0.500 0.000 0.000
0.000 0.000 0.500
```

Output
Mass density   6.38 g cm⁻³
SG   P4/mmm, No. 123



The least stable of them is <x>.



<w>
This record from Alexandria via LeMat-Bulk describes a relaxed NbTeIN2 crystal. The functional is GGA-PBE.

The structure in POSCAR format:
```
NbTeIN2
1.0
4.174 0.000 0.000
0.000 4.174 0.000
0.000 0.000 6.128
I Nb Te N
1 1 1 2
direct
0.000 0.000 0.500
0.000 0.000 0.000
0.500 0.500 0.500
0.000 0.500 0.000
0.500 0.000 0.000
```

Output
Mass density   5.84 g cm⁻³
SG   P4/mmm, No. 123



<x>
This record from Alexandria via LeMat-Bulk describes a relaxed NbTeIN2 crystal. The functional is GGA-PBE.

The structure in POSCAR format:
```
NbTeIN2
1.0
-2.862 -2.663 -0.910
0.955 0.301 -3.887
5.131 -5.792 0.812
I Nb Te N
1 1 1 2
direct
0.000 0.000 0.000
0.500 0.500 0.500
0.000 0.000 0.500
0.000 0.500 0.000
0.500 0.000 0.000
```

Output
Mass density   4.97 g cm⁻³
SG   P4/mmm, No. 123



<y>
This record from Alexandria via LeMat-Bulk describes a relaxed NbTeIN2 crystal. The functional is GGA-PBE.

The structure in POSCAR format:
```
NbTeIN2
1.0
-3.546 0.096 -2.201
1.245 -3.353 -2.153
-2.632 -3.600 4.084
I Nb Te N
1 1 1 2
direct
0.500 0.500 0.500
0.000 0.000 0.000
0.000 0.000 0.500
0.000 0.500 0.000
0.500 0.000 0.000
```

Output
Mass density   5.92 g cm⁻³
SG   P4/mmm, No. 123



The least stable of them is <x>.



<w>
This record from Alexandria via LeMat-Bulk describes a relaxed TiNbIN2 crystal. The functional is GGA-PBE.

The structure in POSCAR format:
```
TiNbIN2
1.0
-2.969 -2.759 0.355
2.778 -2.968 0.171
0.197 0.506 5.584
I Nb N Ti
1 1 2 1
direct
0.000 0.000 0.500
0.000 0.000 0.000
0.000 0.500 0.000
0.500 0.000 0.000
0.500 0.500 0.500
```

Output
Mass density   5.29 g cm⁻³
SG   P4/mmm, No. 123



<x>
This record from Alexandria via LeMat-Bulk describes a relaxed TiNbIN2 crystal. The functional is GGA-PBE.

The structure in POSCAR format:
```
TiNbIN2
1.0
-2.120 -3.354 0.407
2.250 -1.760 -2.783
3.364 -1.669 3.775
I Nb N Ti
1 1 2 1
direct
0.000 0.000 0.500
0.500 0.500 0.500
0.000 0.500 0.000
0.500 0.000 0.000
0.000 0.000 0.000
```

Output
Mass density   5.80 g cm⁻³
SG   P4/mmm, No. 123



The least stable of them is <x>.



<w>
This record from Alexandria via LeMat-Bulk describes a relaxed TiNbI2N crystal. The functional is GGA-PBE.

The structure in POSCAR format:
```
TiNbI2N
1.0
-4.944 1.388 2.328
-1.309 -5.463 0.478
1.570 -0.080 3.383
I Nb N Ti
2 1 1 1
direct
0.000 0.500 0.000
0.500 0.000 0.000
0.500 0.500 0.500
0.000 0.000 0.500
0.000 0.000 0.000
```

Output
Mass density   5.72 g cm⁻³
SG   P4/mmm, No. 123



<x>
This record from Alexandria via LeMat-Bulk describes a relaxed TiNbI2N crystal. The functional is GGA-PBE.

The structure in POSCAR format:
```
TiNbI2N
1.0
5.714 0.000 0.000
0.000 5.714 0.000
0.000 0.000 3.904
I Nb N Ti
2 1 1 1
direct
0.000 0.500 0.000
0.500 0.000 0.000
0.000 0.000 0.000
0.000 0.000 0.500
0.500 0.500 0.500
```

Output
Mass density   5.32 g cm⁻³
SG   P4/mmm, No. 123



The least stable of them is <x>.